# 1
DFT (PBE) results for a geometry-optimized PrBiH6Rh3 structure.

Lattice parameters (Å, degrees): 5.102 5.102 5.102 86.37 93.63 86.37
Positions (direct):
1 Pr 0.579 0.421 0.579
2 Bi 0.987 0.013 0.987
3 H 0.346 0.493 0.098
4 H 0.507 0.902 0.346
5 H 0.116 0.304 0.503
6 H 0.696 0.497 0.116
7 H 0.503 0.884 0.696
8 H 0.098 0.654 0.507
9 Rh 0.499 0.788 0.029
10 Rh 0.029 0.501 0.212
11 Rh 0.212 0.971 0.499

Properties
- Total moment: 0.00 μB per cell
- SG: No. 146
- Electronic total energy: -4.910 eV per atom

# 2
DFT (PBE) results for a geometry-optimized PrBiH8Rh2 structure.

Lattice parameters (Å, degrees): 5.067 5.067 6.439 66.83 66.83 60.00
Positions (direct):
1 Pr 0.500 0.500 0.500
2 Bi 0.000 0.000 0.000
3 H 0.186 0.186 0.441
4 H 0.471 0.468 0.163
5 H 0.814 0.814 0.559
6 H 0.898 0.471 0.163
7 H 0.102 0.529 0.837
8 H 0.468 0.898 0.163
9 H 0.532 0.102 0.837
10 H 0.529 0.532 0.837
11 Rh 0.282 0.282 0.154
12 Rh 0.718 0.718 0.846

Properties
- Total moment: 0.00 μB per cell
- SG: No. 148
- Electronic total energy: -4.252 eV per atom

# 3
DFT (PBE) results for a geometry-optimized Pr4SnBiH structure.

Lattice parameters (Å, degrees): 6.620 6.624 9.667 90.00 110.02 90.00
Positions (direct):
1 Pr 0.931 0.250 0.862
2 Pr 0.427 0.750 0.853
3 Pr 0.069 0.750 0.138
4 Pr 0.573 0.250 0.147
5 Pr 0.500 0.500 0.500
6 Pr 0.000 0.000 0.500
7 Pr 0.500 0.000 0.500
8 Pr 0.000 0.500 0.500
9 Sn 0.112 0.250 0.223
10 Sn 0.888 0.750 0.777
11 Bi 0.611 0.750 0.222
12 Bi 0.389 0.250 0.778
13 H 0.293 0.750 0.587
14 H 0.707 0.250 0.413

Properties
- Total moment: 0.00 μB per cell
- SG: No. 63
- Electronic total energy: -5.009 eV per atom